# 1
A plane-wave DFT calculation with GGA-PBE was carried out for a relaxed Ti6PdRh3 crystal.

Output
- Total magnetic moment: 0.00 μB/f.u.
- E_tot: -7.8104 eV per atom
- Energy of formation from the pure elements: -34 kJ per mole of atoms
- SG: No. 14

The structure in POSCAR format:
```
Ti6PdRh3
1.0
-2.000 -4.743 -4.989
5.521 -2.377 0.047
-2.147 -4.877 5.604
Rh Ti Pd
6 12 2
Cartesian
-0.534 -3.715 -0.983
3.004 -3.052 1.329
-1.630 -8.946 -0.667
1.761 -3.560 -2.471
1.908 -8.283 1.645
-1.074 -2.439 2.802
-1.336 -5.445 2.748
-0.242 -5.817 -2.539
-0.262 -10.025 1.221
1.636 -1.973 -0.558
0.701 -8.232 -0.909
2.710 -6.553 -2.086
3.237 -5.828 0.925
1.616 -6.181 3.202
3.907 -3.909 -1.207
-1.863 -6.170 -0.262
0.673 -3.765 1.571
-2.533 -8.088 1.869
0.687 -5.999 0.331
0.000 0.000 0.000
```



# 2
A plane-wave DFT calculation with GGA-PBE was carried out for a relaxed Ti11Pd4Rh9 crystal.

Output
- Total magnetic moment: 0.39 μB/f.u.
- E_tot: -7.9134 eV per atom
- Energy of formation from the pure elements: -65 kJ per mole of atoms
- SG: No. 65

The structure in POSCAR format:
```
Ti11Pd4Rh9
1.0
-0.369 -0.652 -2.848
11.303 -0.620 -1.322
-3.666 -10.407 2.857
Ti Rh Pd
11 9 4
Cartesian
6.141 -8.866 1.234
-0.782 -8.521 2.052
0.000 0.000 0.000
4.457 -0.869 -0.378
3.180 -10.157 1.913
-0.850 -4.339 1.103
1.496 -2.160 0.301
5.638 -4.324 0.259
8.487 -6.688 0.431
2.000 -6.703 1.275
8.419 -2.506 -0.517
-0.911 -2.542 -0.823
6.137 -2.435 -1.760
7.823 -4.869 -1.421
8.179 -9.137 -0.491
3.634 -5.839 -0.657
-0.554 -6.809 0.108
5.067 -11.172 0.378
2.202 -0.507 -1.692
1.132 -9.243 0.447
6.080 -6.986 -0.711
3.806 -8.472 -0.076
1.188 -4.693 -0.602
3.462 -3.206 -1.237
```



# 3
A plane-wave DFT calculation with GGA-PBE was carried out for a relaxed Ti4Pd7Rh crystal.

Output
- Total magnetic moment: 1.52 μB/f.u.
- E_tot: -6.4431 eV per atom
- Energy of formation from the pure elements: -16 kJ per mole of atoms
- SG: No. 12

The structure in POSCAR format:
```
Ti4Pd7Rh
1.0
-1.184 -3.967 -2.364
4.607 -0.010 -7.096
3.469 -4.489 0.989
Pd Ti Rh
7 4 1
Cartesian
3.662 -1.196 -4.633
5.039 -5.442 -7.812
3.230 -7.270 -3.838
1.853 -3.025 -0.659
4.628 -4.760 -3.943
-0.592 -1.983 -1.182
2.264 -3.706 -4.528
5.122 -6.735 -5.682
4.478 -3.440 -6.084
2.414 -5.026 -2.387
1.770 -1.731 -2.788
0.000 0.000 0.000
```



# 4
A plane-wave DFT calculation with GGA-PBE was carried out for a relaxed Ti8Pd3Rh2 crystal.

Output
- Total magnetic moment: 0.00 μB/f.u.
- E_tot: -7.4507 eV per atom
- Energy of formation from the pure elements: -25 kJ per mole of atoms
- SG: No. 12

The structure in POSCAR format:
```
Ti8Pd3Rh2
1.0
5.133 0.000 0.570
0.000 7.382 0.000
-1.311 -3.691 5.739
Ti Pd Rh
8 3 2
Cartesian
4.338 3.691 1.536
-0.002 3.691 3.657
1.722 2.304 1.636
2.101 -1.387 4.674
-0.516 0.000 4.774
1.722 5.078 1.636
2.101 1.387 4.674
3.824 0.000 2.653
0.000 1.322 0.000
0.000 6.060 0.000
2.567 0.000 0.285
2.661 3.691 3.622
1.161 0.000 2.688
```



# 5
A plane-wave DFT calculation with GGA-PBE was carried out for a relaxed Ti6PdRh crystal.

Output
- Total magnetic moment: 0.61 μB/f.u.
- Relative energy among the computed polymorphs: 0 meV per atom
- E_tot: -7.8120 eV per atom
- Energy of formation from the pure elements: -31 kJ per mole of atoms
- SG: No. 65

The structure in POSCAR format:
```
Ti6PdRh
1.0
4.518 0.000 0.000
0.000 5.256 -1.578
0.000 -0.370 5.476
Ti Pd Rh
6 1 1
Cartesian
0.000 3.605 2.875
2.259 -0.185 2.738
0.000 3.854 0.180
0.000 1.032 3.717
0.000 1.281 1.022
2.259 2.628 -0.789
2.259 0.000 0.000
2.259 2.443 1.949
```



# 6
A plane-wave DFT calculation with GGA-PBE was carried out for a relaxed Ti3PdRh2 crystal.

Output
- Total magnetic moment: 0.86 μB/f.u.
- E_tot: -7.9259 eV per atom
- Energy of formation from the pure elements: -64 kJ per mole of atoms
- SG: No. 123

The structure in POSCAR format:
```
Ti3PdRh2
1.0
-1.450 -0.150 2.555
-2.140 -1.539 -1.305
5.054 -9.014 2.341
Ti Rh Pd
3 2 1
Cartesian
0.000 0.000 0.000
1.637 -2.920 0.758
3.416 -6.094 1.582
-0.996 -2.269 0.995
2.459 -8.433 2.595
0.732 -5.351 1.795
```



# 7
A plane-wave DFT calculation with GGA-PBE was carried out for a relaxed TmTiPdRh crystal.

Output
- Total magnetic moment: 0.00 μB/f.u.
- E_tot: -6.9096 eV per atom
- Energy of formation from the pure elements: -66 kJ per mole of atoms
- SG: No. 216

The structure in POSCAR format:
```
TmTiPdRh
1.0
-3.858 1.825 1.826
-3.128 -2.754 2.044
-0.550 0.132 4.608
Rh Pd Tm Ti
1 1 1 1
Cartesian
0.000 0.000 0.000
-3.768 -0.399 4.239
-5.652 -0.598 6.359
-1.884 -0.199 2.120
```



# 8
A plane-wave DFT calculation with GGA-PBE was carried out for a relaxed TiVPdRh crystal.

Output
- Total magnetic moment: 2.31 μB/f.u.
- E_tot: -7.7172 eV per atom
- Energy of formation from the pure elements: -32 kJ per mole of atoms
- SG: No. 216

The structure in POSCAR format:
```
TiVPdRh
1.0
4.401 0.000 0.000
2.200 3.811 0.000
2.200 1.270 3.593
V Pd Ti Rh
1 1 1 1
Cartesian
6.601 3.811 2.695
4.401 2.541 1.797
2.200 1.270 0.898
0.000 0.000 0.000
```



# 9
A plane-wave DFT calculation with GGA-PBE was carried out for a relaxed YTiPdRh crystal.

Output
- Total magnetic moment: 0.00 μB/f.u.
- E_tot: -7.3242 eV per atom
- Energy of formation from the pure elements: -58 kJ per mole of atoms
- SG: No. 216

The structure in POSCAR format:
```
YTiPdRh
1.0
-2.462 3.982 0.216
-2.721 1.271 -3.598
-4.665 -0.149 0.424
Y Pd Rh Ti
1 1 1 1
Cartesian
-7.387 3.828 -2.219
-4.924 2.552 -1.479
0.000 0.000 0.000
-2.462 1.276 -0.740
```



# 10
A plane-wave DFT calculation with GGA-PBE was carried out for a relaxed TlPd2Rh2 crystal.

Output
- Total magnetic moment: 0.00 μB/f.u.
- Relative energy among the computed polymorphs: 0 meV per atom
- E_tot: -5.2498 eV per atom
- Energy of formation from the pure elements: 23 kJ per mole of atoms
- SG: No. 127

The structure in POSCAR format:
```
TlPd2Rh2
1.0
7.269 0.000 0.000
0.000 7.269 0.000
0.000 0.000 3.244
Rh Pd Tl
4 4 2
Cartesian
6.340 4.564 0.000
4.564 0.930 0.000
2.705 6.340 0.000
0.930 2.705 0.000
6.061 2.426 1.622
1.209 4.843 1.622
2.426 1.209 1.622
4.843 6.061 1.622
3.635 3.635 0.000
0.000 0.000 0.000
```



# 11
A plane-wave DFT calculation with GGA-PBE was carried out for a relaxed Tl2PdRh crystal.

Output
- Total magnetic moment: 0.00 μB/f.u.
- Relative energy among the computed polymorphs: 306 meV per atom
- E_tot: -4.0075 eV per atom
- Energy of formation from the pure elements: 30 kJ per mole of atoms
- SG: No. 122

The structure in POSCAR format:
```
Tl2PdRh
1.0
4.344 0.000 0.000
0.000 4.344 0.000
2.172 2.172 9.232
Rh Tl Pd
2 4 2
Cartesian
2.172 2.172 0.000
2.172 4.344 4.616
1.103 3.258 2.308
3.241 1.086 2.308
3.258 3.275 6.924
5.430 5.413 6.924
0.000 0.000 0.000
4.344 2.172 4.616
```



# 12
A plane-wave DFT calculation with GGA-PBE was carried out for a relaxed Tl2PdRh crystal.

Output
- Total magnetic moment: 0.00 μB/f.u.
- Relative energy among the computed polymorphs: 15 meV per atom
- E_tot: -4.2984 eV per atom
- Energy of formation from the pure elements: 2 kJ per mole of atoms
- SG: No. 225

The structure in POSCAR format:
```
Tl2PdRh
1.0
-2.333 -0.628 4.085
-4.250 2.013 0.640
-3.908 -2.691 0.112
Rh Pd Tl
1 1 2
Cartesian
0.000 0.000 0.000
-5.245 -0.653 2.418
-2.623 -0.327 1.209
-7.868 -0.980 3.628
```



# 13
A plane-wave DFT calculation with GGA-PBE was carried out for a relaxed Tl3PdRh crystal.

Output
- Total magnetic moment: 0.00 μB/f.u.
- Relative energy among the computed polymorphs: 0 meV per atom
- E_tot: -3.5924 eV per atom
- Energy of formation from the pure elements: 32 kJ per mole of atoms
- SG: No. 221

The structure in POSCAR format:
```
Tl3PdRh
1.0
5.200 0.000 0.000
0.000 5.200 0.000
0.000 0.000 5.200
Tl Rh Pd
3 1 1
Cartesian
0.000 0.000 2.600
2.600 0.000 0.000
0.000 2.600 0.000
0.000 0.000 0.000
2.600 2.600 2.600
```



# 14
A plane-wave DFT calculation with GGA-PBE was carried out for a relaxed TlPdRh3 crystal.

Output
- Total magnetic moment: 2.51 μB/f.u.
- Relative energy among the computed polymorphs: 0 meV per atom
- E_tot: -4.6638 eV per atom
- Energy of formation from the pure elements: 121 kJ per mole of atoms
- SG: No. 221

The structure in POSCAR format:
```
TlPdRh3
1.0
4.793 0.000 0.000
0.000 4.793 0.000
0.000 0.000 4.793
Rh Tl Pd
3 1 1
Cartesian
0.000 0.000 2.397
2.397 0.000 0.000
0.000 2.397 0.000
2.397 2.397 2.397
0.000 0.000 0.000
```



# 15
A plane-wave DFT calculation with GGA-PBE was carried out for a relaxed Tl4PdRh crystal.

Output
- Total magnetic moment: 0.00 μB/f.u.
- E_tot: -3.6986 eV per atom
- Energy of formation from the pure elements: -3 kJ per mole of atoms
- SG: No. 140

The structure in POSCAR format:
```
Tl4PdRh
1.0
-5.520 3.380 -1.904
-1.734 -5.111 -4.049
0.526 -1.657 7.489
Rh Tl Pd
2 8 2
Cartesian
-5.178 -2.127 -0.720
-1.551 -1.261 2.257
-4.813 0.733 -0.784
-1.915 -4.121 2.321
-0.174 -2.101 4.647
-4.401 -1.621 2.011
-2.327 -1.767 -0.474
-2.660 0.399 4.337
-4.069 -3.788 -2.800
-6.554 -1.288 -3.110
-3.627 -0.866 -2.976
0.000 0.000 0.000
```



# 16
A plane-wave DFT calculation with GGA-PBE was carried out for a relaxed TlPd2Rh crystal.

Output
- Total magnetic moment: 0.00 μB/f.u.
- E_tot: -4.7769 eV per atom
- Energy of formation from the pure elements: 24 kJ per mole of atoms
- SG: No. 122

The structure in POSCAR format:
```
TlPd2Rh
1.0
3.874 0.000 0.000
0.000 3.874 0.000
1.937 1.937 9.702
Pd Rh Tl
4 2 2
Cartesian
4.842 4.805 7.277
1.006 2.905 2.426
2.868 0.968 2.426
2.905 2.943 7.277
1.937 1.937 0.000
1.937 3.874 4.851
0.000 0.000 0.000
3.874 1.937 4.851
```



# 17
A plane-wave DFT calculation with GGA-PBE was carried out for a relaxed TlPd2Rh crystal.

Output
- Total magnetic moment: 0.00 μB/f.u.
- E_tot: -5.0369 eV per atom
- Energy of formation from the pure elements: -1 kJ per mole of atoms
- SG: No. 123

The structure in POSCAR format:
```
TlPd2Rh
1.0
-0.606 4.054 -0.648
0.219 -0.600 -3.958
-3.961 -0.612 -0.126
Rh Tl Pd
1 1 2
Cartesian
-2.174 1.421 -2.366
-0.303 2.027 -0.324
0.109 -0.300 -1.979
-1.980 -0.306 -0.063
```



# 18
A plane-wave DFT calculation with GGA-PBE was carried out for a relaxed Tl2Pd2Rh crystal.

Output
- Total magnetic moment: 0.00 μB/f.u.
- E_tot: -4.3611 eV per atom
- Energy of formation from the pure elements: 13 kJ per mole of atoms
- SG: No. 127

The structure in POSCAR format:
```
Tl2Pd2Rh
1.0
-0.941 -6.360 3.787
0.036 -3.821 -6.409
3.368 -0.359 0.233
Rh Tl Pd
2 4 4
Cartesian
-0.452 -5.091 -1.311
0.000 0.000 0.000
1.382 -2.923 0.255
1.546 -3.843 -3.539
0.917 -6.698 1.151
1.081 -7.618 -2.644
-0.109 -2.241 -1.877
-0.316 -5.676 -4.174
-0.588 -4.506 1.552
-0.796 -7.940 -0.745
```



# 19
A plane-wave DFT calculation with GGA-PBE was carried out for a relaxed Tl2PdRh crystal.

Output
- Total magnetic moment: 0.00 μB/f.u.
- Relative energy among the computed polymorphs: 8 meV per atom
- E_tot: -4.3056 eV per atom
- Energy of formation from the pure elements: 1 kJ per mole of atoms
- SG: No. 123

The structure in POSCAR format:
```
Tl2PdRh
1.0
-2.795 -1.484 -0.640
-0.624 -0.860 4.723
-2.342 4.212 0.458
Tl Pd Rh
2 1 1
Cartesian
-1.171 2.106 0.229
-0.312 -0.430 2.362
-1.397 -0.742 -0.320
-2.880 0.934 2.271
```



# 20
A plane-wave DFT calculation with GGA-PBE was carried out for a relaxed Tl2PdRh crystal.

Output
- Total magnetic moment: 0.00 μB/f.u.
- Relative energy among the computed polymorphs: 89 meV per atom
- E_tot: -4.2247 eV per atom
- Energy of formation from the pure elements: 9 kJ per mole of atoms
- SG: No. 160

The structure in POSCAR format:
```
Tl2PdRh
1.0
4.151 0.000 0.000
2.075 3.595 0.000
2.075 1.198 5.773
Tl Rh Pd
2 1 1
Cartesian
2.075 1.198 4.445
2.075 1.198 1.316
6.226 3.595 5.719
4.151 2.396 2.952
```